1) {"formula": "CsVGaF", "functional": "PBE+U", "state": "optimized geometry", "cell": [[3.7445, 0.0000, 0.0000], [0.0000, 3.7445, 0.0000], [0.0000, 0.0000, 14.7694]], "species": ["Cs", "Cs", "F", "F", "Ga", "Ga", "V", "V"], "frac_coords": [[0.0000, 0.0000, 0.2660], [0.5000, 0.5000, 0.7660], [0.0000, 0.0000, 0.8463], [0.5000, 0.5000, 0.3463], [0.0000, 0.0000, 0.5264], [0.5000, 0.5000, 0.0264], [0.0000, 0.0000, 0.9859], [0.5000, 0.5000, 0.4859]]}

=====

2) {"formula": "CsVGaF", "functional": "PBE+U", "state": "optimized geometry", "cell": [[3.2980, 0.0000, 0.0000], [0.0000, 3.9413, 0.0000], [0.0000, 0.0000, 14.6819]], "species": ["Cs", "Cs", "V", "V", "Ga", "Ga", "F", "F"], "frac_coords": [[0.5000, 0.0000, 0.6575], [0.5000, 0.5000, 0.1575], [0.5000, 0.0000, 0.3750], [0.5000, 0.5000, 0.8750], [0.0000, 0.0000, 0.9552], [0.0000, 0.5000, 0.4552], [0.0000, 0.0000, 0.2715], [0.0000, 0.5000, 0.7715]]}

=====

We find 1) to be the most stable, with the next structure 86 meV/atom higher.